No. 1
{"formula": "RbCeThSe4", "functional": "PBE", "state": "optimized geometry", "lattice_angstrom": [[9.1416, 0.0000, 0.0000], [-4.5708, 7.8248, -0.5133], [0.0000, -4.6803, 7.6968]], "species": ["Se", "Se", "Se", "Se", "Se", "Rb", "Th", "Ce", "Se", "Se", "Se", "Rb", "Ce", "Th"], "frac_coords": [[0.6917, 0.9693, 0.7347], [0.3083, 0.0307, 0.2653], [0.7223, 0.0307, 0.2653], [0.2747, 0.5494, 0.3120], [0.2777, 0.9693, 0.7347], [0.1261, 0.2522, 0.8761], [0.5000, 0.0000, 0.5000], [0.5000, 0.5000, 0.5000], [0.2747, 0.5494, 0.7374], [0.7253, 0.4506, 0.2626], [0.7253, 0.4506, 0.6880], [0.8739, 0.7478, 0.1239], [0.0000, 0.5000, 0.5000], [0.5000, 0.0000, 0.0000]], "n_ef_per_ev_fu": 6.7, "raw_formation_energy_ev_per_atom": -1.65, "final_energy_ev_per_fu": -39.810}

---

No. 2
{"formula": "Rb3CeTh2Se6", "functional": "PBE", "state": "optimized geometry", "lattice_angstrom": [[7.4793, -0.0010, 0.0004], [-3.7387, 6.4778, 0.0004], [-1.2471, -2.1593, 8.1178]], "species": ["Th", "Rb", "Se", "Se", "Se", "Th", "Se", "Se", "Rb", "Rb", "Se", "Ce"], "frac_coords": [[0.6668, 0.3332, 0.0000], [0.8344, 0.1656, 0.5000], [0.4072, 0.0683, 0.2049], [0.5928, 0.9316, 0.7951], [0.7294, 0.7294, 0.2046], [0.3332, 0.6668, 0.0000], [0.9316, 0.5928, 0.7951], [0.0683, 0.4072, 0.2049], [0.1656, 0.8344, 0.5000], [0.5000, 0.5000, 0.5000], [0.2706, 0.2706, 0.7954], [0.0000, 0.0000, 0.0000]], "n_ef_per_ev_fu": 12.8, "raw_formation_energy_ev_per_atom": -1.57, "final_energy_ev_per_fu": -63.453}

---

No. 3
{"formula": "Rb3CeTh3Se8", "functional": "PBE", "state": "optimized geometry", "lattice_angstrom": [[8.5773, 0.0000, 0.0000], [-4.2886, 7.4264, -0.0311], [0.0000, -4.9198, 8.2266]], "species": ["Se", "Th", "Se", "Se", "Th", "Se", "Se", "Rb", "Ce", "Se", "Se", "Rb", "Rb", "Th", "Se"], "frac_coords": [[0.7280, 0.9641, 0.6999], [0.0000, 0.5000, 0.5000], [0.2720, 0.0359, 0.3001], [0.2649, 0.5299, 0.2951], [0.5000, 0.5000, 0.5000], [0.7639, 0.0359, 0.3001], [0.7639, 0.5278, 0.3001], [0.0000, 0.5000, 0.0000], [0.0000, 0.0000, 0.5000], [0.2361, 0.4722, 0.6999], [0.2361, 0.9641, 0.6999], [0.0000, 0.0000, 0.0000], [0.5000, 0.5000, 0.0000], [0.5000, 0.0000, 0.5000], [0.7351, 0.4701, 0.7049]], "n_ef_per_ev_fu": 14.5, "raw_formation_energy_ev_per_atom": -1.61, "final_energy_ev_per_fu": -83.101}

---

No. 4
{"formula": "Rb2CeTh2Se6", "functional": "PBE", "state": "optimized geometry", "lattice_angstrom": [[-2.3528, 2.7607, -6.5366], [-4.6529, -3.9814, 4.2875], [-0.1129, 7.2972, 4.5213]], "species": ["Th", "Th", "Se", "Se", "Se", "Ce", "Rb", "Se", "Se", "Se", "Rb"], "frac_coords": [[0.6656, 0.3344, 0.5000], [0.3344, 0.6656, 0.5000], [0.7263, 0.7263, 0.6988], [0.9367, 0.5953, 0.3031], [0.5953, 0.9367, 0.3031], [0.0000, 0.0000, 0.5000], [0.8344, 0.1656, 0.0000], [0.2737, 0.2737, 0.3012], [0.0633, 0.4047, 0.6969], [0.4047, 0.0633, 0.6969], [0.1656, 0.8344, 0.0000]], "n_ef_per_ev_fu": 12.0, "raw_formation_energy_ev_per_atom": -1.65, "final_energy_ev_per_fu": -61.752}

---

No. 5
{"formula": "Rb4Ce3TiSe8", "functional": "PBE", "state": "optimized geometry", "lattice_angstrom": [[-8.2809, 1.4906, 1.4843], [-1.8372, -1.0968, -9.1479], [3.9585, -6.4474, 3.9692]], "species": ["Rb", "Ce", "Se", "Ce", "Se", "Se", "Rb", "Ce", "Ti", "Se", "Se", "Se", "Se", "Rb", "Se", "Rb"], "frac_coords": [[0.5000, 0.0000, 0.0000], [0.0000, 0.5000, 0.5000], [0.2655, 0.2965, 0.5310], [0.5000, 0.5000, 0.5000], [0.2209, 0.6917, 0.9708], [0.2502, 0.3083, 0.0292], [0.0000, 0.0000, 0.5000], [0.5000, 0.5000, 0.0000], [0.0000, 0.5000, 0.0000], [0.2210, 0.6918, 0.4420], [0.7791, 0.3083, 0.0292], [0.7345, 0.7035, 0.4690], [0.7790, 0.3082, 0.5580], [0.5000, 0.0000, 0.5000], [0.7498, 0.6917, 0.9708], [0.0000, 0.0000, 0.0000]], "n_ef_per_ev_fu": 24.6, "raw_formation_energy_ev_per_atom": -1.51, "final_energy_ev_per_fu": -81.623}

---

No. 6
{"formula": "RbCeTiSe4", "functional": "PBE", "state": "optimized geometry", "lattice_angstrom": [[-1.9201, -5.4120, -4.0738], [5.6029, -3.6369, 2.1909], [-4.0819, -1.1327, 8.5587]], "species": ["Se", "Se", "Ce", "Rb", "Se", "Se", "Ti", "Ce", "Se", "Se", "Se", "Se", "Ti", "Rb"], "frac_coords": [[0.5708, 0.2500, 0.4241], [0.0107, 0.5089, 0.7097], [0.7763, 0.7500, 0.4505], [0.2680, 0.2500, 0.0620], [0.4292, 0.7500, 0.5759], [0.9893, 0.0089, 0.2903], [0.2238, 0.7500, 0.3278], [0.2237, 0.2500, 0.5495], [0.9893, 0.4911, 0.2903], [0.5708, 0.2500, 0.8287], [0.0107, 0.9911, 0.7097], [0.4292, 0.7500, 0.1713], [0.7762, 0.2500, 0.6722], [0.7320, 0.7500, 0.9380]], "n_ef_per_ev_fu": 7.7, "raw_formation_energy_ev_per_atom": -1.42, "final_energy_ev_per_fu": -38.697}

---

No. 7
{"formula": "Rb3Ce2TiSe6", "functional": "PBE", "state": "optimized geometry", "lattice_angstrom": [[-0.7636, -6.3700, 3.5012], [6.6728, 2.7043, -1.2566], [-2.2337, 5.1031, 6.2416]], "species": ["Se", "Se", "Se", "Rb", "Rb", "Rb", "Ce", "Se", "Ce", "Se", "Se", "Ti"], "frac_coords": [[0.6246, 0.9358, 0.8074], [0.2461, 0.2461, 0.8060], [0.0642, 0.3754, 0.1926], [0.1703, 0.8297, 0.5000], [0.5000, 0.5000, 0.5000], [0.8297, 0.1703, 0.5000], [0.3338, 0.6662, 0.0000], [0.7539, 0.7539, 0.1940], [0.6662, 0.3338, 0.0000], [0.9358, 0.6246, 0.8074], [0.3754, 0.0642, 0.1926], [0.0000, 0.0000, 0.0000]], "n_ef_per_ev_fu": 16.9, "raw_formation_energy_ev_per_atom": -1.47, "final_energy_ev_per_fu": -61.202}

---

No. 8
{"formula": "Rb2CeTlSe4", "functional": "PBE", "state": "optimized geometry", "lattice_angstrom": [[-4.1433, -1.3642, -0.2265], [2.6403, -7.7369, -1.7021], [0.8714, -3.7566, 6.6849]], "species": ["Se", "Se", "Rb", "Rb", "Se", "Se", "Ce", "Tl"], "frac_coords": [[0.0000, 0.3032, 0.2536], [0.5000, 0.3010, 0.7121], [0.0000, 0.0000, 0.0000], [0.5000, 0.0000, 0.5000], [0.5000, 0.6990, 0.2879], [0.0000, 0.6968, 0.7464], [0.0000, 0.5000, 0.5000], [0.5000, 0.5000, 0.0000]], "n_ef_per_ev_fu": 5.3, "raw_formation_energy_ev_per_atom": -1.15, "final_energy_ev_per_fu": -33.378}

---

No. 9
{"formula": "Rb4Ce3TlSe8", "functional": "PBE", "state": "optimized geometry", "lattice_angstrom": [[-1.0355, 2.8400, 8.3937], [-9.3049, 0.3480, -1.2657], [4.2094, -7.6989, -1.6169]], "species": ["Ce", "Rb", "Se", "Ce", "Se", "Se", "Rb", "Se", "Se", "Se", "Tl", "Ce", "Se", "Rb", "Rb", "Se"], "frac_coords": [[0.5000, 0.5000, 0.5000], [0.0000, 0.0000, 0.0000], [0.7327, 0.6979, 0.4653], [0.0000, 0.5000, 0.5000], [0.2457, 0.6946, 0.4914], [0.2457, 0.6948, 0.9489], [0.5000, 0.0000, 0.0000], [0.2673, 0.3021, 0.5347], [0.2968, 0.3052, 0.0511], [0.7543, 0.3054, 0.5086], [0.0000, 0.5000, 0.0000], [0.5000, 0.5000, 0.0000], [0.7032, 0.6948, 0.9489], [0.0000, 0.0000, 0.5000], [0.5000, 0.0000, 0.5000], [0.7543, 0.3052, 0.0511]], "n_ef_per_ev_fu": 11.7, "raw_formation_energy_ev_per_atom": -1.46, "final_energy_ev_per_fu": -75.211}

---

No. 10
{"formula": "Rb2CeTm2Se6", "functional": "PBE", "state": "optimized geometry", "lattice_angstrom": [[7.2044, -0.0315, 0.0672], [-3.5882, 6.2474, 0.0672], [-1.2845, -2.2080, 8.1494]], "species": ["Se", "Se", "Se", "Tm", "Tm", "Ce", "Se", "Rb", "Se", "Se", "Rb"], "frac_coords": [[0.9369, 0.6011, 0.3097], [0.0631, 0.3989, 0.6903], [0.6011, 0.9369, 0.3097], [0.3332, 0.6668, 0.5000], [0.6668, 0.3332, 0.5000], [0.0000, 0.0000, 0.5000], [0.2724, 0.2724, 0.3101], [0.8335, 0.1665, 0.0000], [0.3989, 0.0631, 0.6903], [0.7276, 0.7276, 0.6899], [0.1665, 0.8335, 0.0000]], "raw_formation_energy_ev_per_atom": -1.71, "final_energy_ev_per_fu": -56.580}

---

No. 11
{"formula": "Rb2Ce2TmSe6", "functional": "PBE", "state": "optimized geometry", "lattice_angstrom": [[7.3533, -0.0131, 0.0720], [-3.6458, 6.3859, 0.0720], [-1.3149, -2.2602, 8.0943]], "species": ["Se", "Ce", "Se", "Ce", "Tm", "Se", "Se", "Se", "Rb", "Se", "Rb"], "frac_coords": [[0.7388, 0.7388, 0.6909], [0.6662, 0.3338, 0.5000], [0.9369, 0.6090, 0.3091], [0.3338, 0.6662, 0.5000], [0.0000, 0.0000, 0.5000], [0.2612, 0.2612, 0.3091], [0.3910, 0.0631, 0.6909], [0.0631, 0.3910, 0.6909], [0.1675, 0.8325, 0.0000], [0.6090, 0.9369, 0.3091], [0.8325, 0.1675, 0.0000]], "n_ef_per_ev_fu": 6.2, "raw_formation_energy_ev_per_atom": -1.71, "final_energy_ev_per_fu": -57.995}

---

No. 12
{"formula": "Rb2CeTmSe4", "functional": "PBE", "state": "optimized geometry", "lattice_angstrom": [[-2.7586, -0.0628, -3.3054], [3.2421, -6.2023, -2.5880], [-6.1329, -2.3761, 5.1634]], "species": ["Se", "Se", "Ce", "Rb", "Rb", "Se", "Se", "Tm"], "frac_coords": [[0.0000, 0.7435, 0.1980], [0.5000, 0.2214, 0.1943], [0.5000, 0.5000, 0.0000], [0.5000, 0.0000, 0.5000], [0.0000, 0.5000, 0.5000], [0.0000, 0.2565, 0.8020], [0.5000, 0.7786, 0.8057], [0.0000, 0.0000, 0.0000]], "n_ef_per_ev_fu": 5.5, "raw_formation_energy_ev_per_atom": -1.69, "final_energy_ev_per_fu": -39.786}